CuNi: optimized geometry, GGA-PBEsol.

Computed properties:
space group: Pnma
formation energy: 4.8 kJ/mol of atoms
E: -5.1961 eV per atom
total magnetization: 0.7 μB/cell

a = 4.2612 Å, b = 4.0686 Å, c = 4.9660 Å
α = 90.00°, β = 90.00°, γ = 90.00°
Fractional coordinates of all 8 atoms:
Cu (0.0832, 0.2500, 0.1251)
Cu (0.4168, 0.7500, 0.6251)
Cu (0.5832, 0.2500, 0.3749)
Cu (0.9168, 0.7500, 0.8749)
Ni (0.0789, 0.2500, 0.6255)
Ni (0.4211, 0.7500, 0.1255)
Ni (0.5789, 0.2500, 0.8745)
Ni (0.9211, 0.7500, 0.3745)